Entry 1:
This record from Alexandria describes a geometry-optimized SbSe structure. The functional is GGA-PBE.

The structure belongs to space group Pmmn (No. 59, origin choice 2); the cell edges are 4.660, 15.202 and 5.343 Å and the angles 90.00°, 90.00° and 90.00°. Symmetry generates all atoms from Sb at (0.250, 0.034, 0.168), Sb at (0.250, 0.750, 0.162), Se at (0.250, 0.250, 0.095) and Se at (0.250, 0.604, 0.468).

Its raw formation energy is -0.038 eV/atom. The value obtained for the electronic total energy is -0.282 Ry/atom.


Entry 2:
This record from Alexandria describes a geometry-optimized ReSiW2 structure. The functional is GGA-PBE.

The structure belongs to space group I-42d (No. 122); the cell edges are 3.814, 3.814 and 18.181 Å and the angles 90.00°, 90.00° and 90.00°. Symmetry generates all atoms from Re at (0.000, 0.000, 0.000), Si at (0.000, 0.000, 0.500) and W at (0.221, 0.250, 0.625).

Its raw formation energy is 0.725 eV/atom. The value obtained for the electronic total energy is -0.751 Ry/atom.


> The highest electronic total energy belongs to which entry?

SbSe